DFT (GGA-PBE) results for a geometry-optimized Ho3HgP2Rh9 structure.

Structure (extended XYZ):
```
15
Lattice="6.021 0.000 0.000 -3.011 5.215 0.000 0.000 0.000 9.590" Properties=species:S:1:pos:R:3 pbc="T T T"
Ho 0.000 0.000 0.000
Ho 0.000 3.476 7.085
Ho 3.011 1.738 2.505
Hg 0.000 0.000 4.795
P 0.000 3.476 1.510
P 3.011 1.738 8.080
Rh -1.505 2.607 0.000
Rh 0.000 1.539 2.470
Rh -1.678 4.445 2.470
Rh 1.333 0.770 7.120
Rh 3.011 0.000 0.000
Rh 1.505 2.607 0.000
Rh 1.678 4.445 2.470
Rh 4.688 0.770 7.120
Rh 3.011 3.675 7.120
```

DOS at the Fermi energy: 14.0 states/eV/cell
total magnetization: 0.00 μB per formula unit
E_form: -0.56 eV/atom
symmetry: No. 164

DFT (GGA-PBE) results for a geometry-optimized Nd5YTm5 structure.

Structure (extended XYZ):
```
11
Lattice="6.080 0.000 0.000 -3.040 5.266 0.000 0.000 0.000 11.831" Properties=species:S:1:pos:R:3 pbc="T T T"
Nd 0.000 0.000 0.000
Nd 0.000 3.510 3.726
Nd 0.000 3.510 8.105
Nd 3.040 1.755 1.807
Nd 3.040 1.755 10.024
Y 0.000 3.510 0.000
Tm 0.000 0.000 3.149
Tm 0.000 0.000 8.682
Tm 1.516 0.875 5.916
Tm 4.564 0.875 5.916
Tm 3.040 3.515 5.916
```

DOS at the Fermi energy: 22.4 states/eV/cell
total magnetization: 0.01 μB per formula unit
E_form: 0.28 eV/atom
symmetry: No. 187

DFT (GGA-PBE) results for a geometry-optimized Y2VRu structure.

Structure (extended XYZ):
```
8
Lattice="5.653 0.000 0.000 0.264 5.871 0.000 1.034 2.054 5.408" Properties=species:S:1:pos:R:3 pbc="T T T"
Y 0.000 0.000 0.000
Y 1.354 4.534 3.144
Y 4.236 6.335 3.866
Y 4.342 2.925 1.542
V 1.630 1.601 2.254
V 3.069 5.957 1.080
Ru 1.467 3.072 0.534
Ru 3.776 3.289 4.518
```

DOS at the Fermi energy: 7.6 states/eV/cell
total magnetization: 0.00 μB per formula unit
E_form: -0.04 eV/atom
symmetry: No. 1
energy relative to the lowest polymorph listed for this composition: 0.066 eV/atom

DFT (GGA-PBE) results for a geometry-optimized Pm3Dy3Pd2 structure.

Structure (extended XYZ):
```
16
Lattice="1.964 -6.475 0.000 1.964 6.475 0.000 0.000 0.000 17.981" Properties=species:S:1:pos:R:3 pbc="T T T"
Pm 1.964 5.838 10.880
Pm 1.964 5.838 16.091
Pm 1.964 1.913 13.486
Pm 1.964 -1.913 4.495
Pm 1.964 -5.838 1.890
Pm 1.964 -5.838 7.101
Dy 1.964 2.001 9.739
Dy 1.964 2.001 17.233
Dy 1.964 1.559 4.495
Dy 1.964 -1.559 13.486
Dy 1.964 -2.001 0.748
Dy 1.964 -2.001 8.242
Pd 1.964 3.246 2.270
Pd 1.964 3.246 6.720
Pd 1.964 -3.246 11.261
Pd 1.964 -3.246 15.711
```

DOS at the Fermi energy: 14.5 states/eV/cell
total magnetization: 0.00 μB per formula unit
E_form: -0.37 eV/atom
symmetry: No. 63

DFT (GGA-PBE) results for a geometry-optimized MgNbCu structure.

Structure (extended XYZ):
```
6
Lattice="2.765 0.000 0.000 0.000 4.502 0.000 -0.600 0.000 8.042" Properties=species:S:1:pos:R:3 pbc="T T T"
Mg 0.000 0.000 0.000
Mg 0.716 0.000 5.449
Nb 1.209 2.251 1.271
Nb 1.994 0.000 2.775
Cu 0.346 2.251 3.959
Cu 2.014 2.251 6.580
```

DOS at the Fermi energy: 4.0 states/eV/cell
total magnetization: 0.00 μB per formula unit
E_form: 0.19 eV/atom
symmetry: No. 6
energy relative to the lowest polymorph listed for this composition: 0.149 eV/atom

DFT (GGA-PBE) results for a geometry-optimized SiP2SO structure.

Structure (extended XYZ):
```
5
Lattice="4.586 0.000 0.000 0.000 4.586 0.000 0.000 0.000 3.455" Properties=species:S:1:pos:R:3 pbc="T T T"
Si 0.000 0.000 0.000
P 0.000 2.293 1.727
P 2.293 0.000 1.727
S 2.293 2.293 1.727
O 2.293 2.293 0.000
```

DOS at the Fermi energy: 2.2 states/eV/cell
total magnetization: 0.00 μB per formula unit
symmetry: No. 123
energy relative to the lowest polymorph listed for this composition: 0.573 eV/atom
formation energy (no corrections): 0.568 eV/atom

DFT (GGA-PBE) results for a geometry-optimized SiAs2RuBr structure.

Structure (extended XYZ):
```
5
Lattice="4.705 0.000 0.000 0.000 4.705 0.000 0.000 0.000 5.323" Properties=species:S:1:pos:R:3 pbc="T T T"
Si 0.000 0.000 0.000
As 0.000 2.353 2.661
As 2.353 0.000 2.661
Ru 2.353 2.353 2.661
Br 2.353 2.353 0.000
```

DOS at the Fermi energy: 4.6 states/eV/cell
total magnetization: 0.00 μB per formula unit
symmetry: No. 123
energy relative to the lowest polymorph listed for this composition: 0.000 eV/atom
formation energy (no corrections): 0.713 eV/atom

DFT (GGA-PBE) results for a geometry-optimized TlB3Sb structure.

Structure (extended XYZ):
```
5
Lattice="4.574 0.000 0.000 0.000 4.574 0.000 0.000 0.000 4.574" Properties=species:S:1:pos:R:3 pbc="T T T"
Tl 0.000 0.000 0.000
B 0.000 0.000 2.287
B 0.000 2.287 0.000
B 2.287 0.000 0.000
Sb 2.287 2.287 2.287
```

DOS at the Fermi energy: 2.5 states/eV/cell
total magnetization: 0.00 μB per formula unit
symmetry: No. 221
energy relative to the lowest polymorph listed for this composition: 0.351 eV/atom
formation energy (no corrections): 2.340 eV/atom

Number 1: E -6.63 eV per atom. Number 2: E -4.51 eV per atom. Number 3: E -7.87 eV per atom. Number 4: E -5.18 eV per atom. Number 5: E -5.06 eV per atom. Number 6: E -4.50 eV per atom. Number 7: E -4.42 eV per atom. Number 8: E -2.96 eV per atom.